[1]
TiReP2S | PBE | optimized geometry

Properties
- E above lowest polymorph (eV per atom) = 0.3341
- calculated total energy (eV per atom) = -6.08
- density of states at the Fermi level (states/eV/cell) = 3.01

CIF file:
```
data_TiReP2S
_space_group_name_H-M_alt 'P 4/m m m'
_space_group_IT_number 123
_space_group_name_Hall '-P 4 2'
_cell_length_a 4.7297
_cell_length_b 4.7297
_cell_length_c 4.4700
_cell_angle_alpha 90.00
_cell_angle_beta 90.00
_cell_angle_gamma 90.00
loop_
_atom_site_label
_atom_site_fract_x
_atom_site_fract_y
_atom_site_fract_z
Ti1 0.0000 0.0000 0.0000
Re1 0.5000 0.5000 0.5000
P1 0.0000 0.5000 0.0000
S1 0.0000 0.0000 0.5000
```

---

[2]
TiReP2S | PBE | optimized geometry

Properties
- E above lowest polymorph (eV per atom) = 0.0000
- calculated total energy (eV per atom) = -6.42
- density of states at the Fermi level (states/eV/cell) = 8.28

CIF file:
```
data_TiReP2S
_space_group_name_H-M_alt 'P 4/m m m'
_space_group_IT_number 123
_space_group_name_Hall '-P 4 2'
_cell_length_a 4.4963
_cell_length_b 4.4963
_cell_length_c 4.9619
_cell_angle_alpha 90.00
_cell_angle_beta 90.00
_cell_angle_gamma 90.00
loop_
_atom_site_label
_atom_site_fract_x
_atom_site_fract_y
_atom_site_fract_z
Ti1 0.0000 0.0000 0.0000
Re1 0.5000 0.5000 0.5000
P1 0.0000 0.5000 0.5000
S1 0.5000 0.5000 0.0000
```

---

[3]
VReP2S | PBE | optimized geometry

Properties
- E above lowest polymorph (eV per atom) = 0.2707
- calculated total energy (eV per atom) = -6.27
- density of states at the Fermi level (states/eV/cell) = 2.67

CIF file:
```
data_VReP2S
_space_group_name_H-M_alt 'P 4/m m m'
_space_group_IT_number 123
_space_group_name_Hall '-P 4 2'
_cell_length_a 4.5912
_cell_length_b 4.5912
_cell_length_c 4.3342
_cell_angle_alpha 90.00
_cell_angle_beta 90.00
_cell_angle_gamma 90.00
loop_
_atom_site_label
_atom_site_fract_x
_atom_site_fract_y
_atom_site_fract_z
V1 0.0000 0.0000 0.0000
Re1 0.5000 0.5000 0.5000
P1 0.0000 0.5000 0.0000
S1 0.0000 0.0000 0.5000
```

---

[4]
VRePS2 | PBE | optimized geometry

Properties
- E above lowest polymorph (eV per atom) = 0.0000
- calculated total energy (eV per atom) = -6.13
- density of states at the Fermi level (states/eV/cell) = 8.12

CIF file:
```
data_VRePS2
_space_group_name_H-M_alt 'P 4/m m m'
_space_group_IT_number 123
_space_group_name_Hall '-P 4 2'
_cell_length_a 4.6269
_cell_length_b 4.6269
_cell_length_c 4.6049
_cell_angle_alpha 90.00
_cell_angle_beta 90.00
_cell_angle_gamma 90.00
loop_
_atom_site_label
_atom_site_fract_x
_atom_site_fract_y
_atom_site_fract_z
V1 0.0000 0.0000 0.0000
Re1 0.5000 0.5000 0.5000
P1 0.5000 0.5000 0.0000
S1 0.0000 0.5000 0.5000
```

---

[5]
VReP2S | PBE | optimized geometry

Properties
- E above lowest polymorph (eV per atom) = 0.0000
- calculated total energy (eV per atom) = -6.54
- density of states at the Fermi level (states/eV/cell) = 4.16

CIF file:
```
data_VReP2S
_space_group_name_H-M_alt 'P 4/m m m'
_space_group_IT_number 123
_space_group_name_Hall '-P 4 2'
_cell_length_a 4.5055
_cell_length_b 4.5055
_cell_length_c 5.0296
_cell_angle_alpha 90.00
_cell_angle_beta 90.00
_cell_angle_gamma 90.00
loop_
_atom_site_label
_atom_site_fract_x
_atom_site_fract_y
_atom_site_fract_z
V1 0.0000 0.0000 0.0000
Re1 0.5000 0.5000 0.5000
P1 0.0000 0.5000 0.5000
S1 0.5000 0.5000 0.0000
```

---

[6]
VRePS2 | PBE | optimized geometry

Properties
- E above lowest polymorph (eV per atom) = 0.0157
- calculated total energy (eV per atom) = -6.11
- density of states at the Fermi level (states/eV/cell) = 3.75

CIF file:
```
data_VRePS2
_space_group_name_H-M_alt 'P 4/m m m'
_space_group_IT_number 123
_space_group_name_Hall '-P 4 2'
_cell_length_a 4.4201
_cell_length_b 4.4201
_cell_length_c 4.8008
_cell_angle_alpha 90.00
_cell_angle_beta 90.00
_cell_angle_gamma 90.00
loop_
_atom_site_label
_atom_site_fract_x
_atom_site_fract_y
_atom_site_fract_z
V1 0.0000 0.0000 0.0000
Re1 0.5000 0.5000 0.5000
P1 0.0000 0.0000 0.5000
S1 0.0000 0.5000 0.0000
```

---

[7]
ReP2WS | PBE | optimized geometry

Properties
- E above lowest polymorph (eV per atom) = 0.0000
- calculated total energy (eV per atom) = -6.74
- density of states at the Fermi level (states/eV/cell) = 2.57

CIF file:
```
data_ReP2WS
_space_group_name_H-M_alt 'P 4/m m m'
_space_group_IT_number 123
_space_group_name_Hall '-P 4 2'
_cell_length_a 4.7821
_cell_length_b 4.7821
_cell_length_c 4.4967
_cell_angle_alpha 90.00
_cell_angle_beta 90.00
_cell_angle_gamma 90.00
loop_
_atom_site_label
_atom_site_fract_x
_atom_site_fract_y
_atom_site_fract_z
Re1 0.0000 0.0000 0.0000
P1 0.0000 0.5000 0.5000
W1 0.5000 0.5000 0.5000
S1 0.5000 0.5000 0.0000
```

---

[8]
ReP2WS | PBE | optimized geometry

Properties
- E above lowest polymorph (eV per atom) = 0.0186
- calculated total energy (eV per atom) = -6.72
- density of states at the Fermi level (states/eV/cell) = 3.62

CIF file:
```
data_ReP2WS
_space_group_name_H-M_alt 'P 4/m m m'
_space_group_IT_number 123
_space_group_name_Hall '-P 4 2'
_cell_length_a 4.6338
_cell_length_b 4.6338
_cell_length_c 4.5362
_cell_angle_alpha 90.00
_cell_angle_beta 90.00
_cell_angle_gamma 90.00
loop_
_atom_site_label
_atom_site_fract_x
_atom_site_fract_y
_atom_site_fract_z
Re1 0.0000 0.0000 0.0000
P1 0.0000 0.5000 0.0000
W1 0.5000 0.5000 0.5000
S1 0.0000 0.0000 0.5000
```

---

[9]
YReP2S | PBE | optimized geometry

Properties
- E above lowest polymorph (eV per atom) = 0.0000
- calculated total energy (eV per atom) = -6.94
- density of states at the Fermi level (states/eV/cell) = 2.66

CIF file:
```
data_YReP2S
_space_group_name_H-M_alt 'P 4/m m m'
_space_group_IT_number 123
_space_group_name_Hall '-P 4 2'
_cell_length_a 4.4901
_cell_length_b 4.4901
_cell_length_c 5.2419
_cell_angle_alpha 90.00
_cell_angle_beta 90.00
_cell_angle_gamma 90.00
loop_
_atom_site_label
_atom_site_fract_x
_atom_site_fract_y
_atom_site_fract_z
Y1 0.0000 0.0000 0.0000
Re1 0.5000 0.5000 0.5000
P1 0.0000 0.5000 0.5000
S1 0.5000 0.5000 0.0000
```

---

[10]
YReP2S | PBE | optimized geometry

Properties
- E above lowest polymorph (eV per atom) = 1.5337
- calculated total energy (eV per atom) = -5.40
- density of states at the Fermi level (states/eV/cell) = 3.55

CIF file:
```
data_YReP2S
_space_group_name_H-M_alt 'P 4/m m m'
_space_group_IT_number 123
_space_group_name_Hall '-P 4 2'
_cell_length_a 5.2753
_cell_length_b 5.2753
_cell_length_c 5.0506
_cell_angle_alpha 90.00
_cell_angle_beta 90.00
_cell_angle_gamma 90.00
loop_
_atom_site_label
_atom_site_fract_x
_atom_site_fract_y
_atom_site_fract_z
Y1 0.0000 0.0000 0.0000
Re1 0.5000 0.5000 0.5000
P1 0.0000 0.5000 0.0000
S1 0.0000 0.0000 0.5000
```

---

[11]
YRePS2 | PBE | optimized geometry

Properties
- E above lowest polymorph (eV per atom) = 0.0000
- calculated total energy (eV per atom) = -6.75
- density of states at the Fermi level (states/eV/cell) = 4.49

CIF file:
```
data_YRePS2
_space_group_name_H-M_alt 'P 4/m m m'
_space_group_IT_number 123
_space_group_name_Hall '-P 4 2'
_cell_length_a 4.7548
_cell_length_b 4.7548
_cell_length_c 4.5333
_cell_angle_alpha 90.00
_cell_angle_beta 90.00
_cell_angle_gamma 90.00
loop_
_atom_site_label
_atom_site_fract_x
_atom_site_fract_y
_atom_site_fract_z
Y1 0.0000 0.0000 0.0000
Re1 0.5000 0.5000 0.5000
P1 0.5000 0.5000 0.0000
S1 0.0000 0.5000 0.5000
```

---

[12]
YRePS2 | PBE | optimized geometry

Properties
- E above lowest polymorph (eV per atom) = 1.2629
- calculated total energy (eV per atom) = -5.49
- density of states at the Fermi level (states/eV/cell) = 3.73

CIF file:
```
data_YRePS2
_space_group_name_H-M_alt 'P 4/m m m'
_space_group_IT_number 123
_space_group_name_Hall '-P 4 2'
_cell_length_a 5.1145
_cell_length_b 5.1145
_cell_length_c 5.4225
_cell_angle_alpha 90.00
_cell_angle_beta 90.00
_cell_angle_gamma 90.00
loop_
_atom_site_label
_atom_site_fract_x
_atom_site_fract_y
_atom_site_fract_z
Y1 0.0000 0.0000 0.0000
Re1 0.5000 0.5000 0.5000
P1 0.0000 0.0000 0.5000
S1 0.0000 0.5000 0.0000
```